No. 1
# ScTl3Ge PBE optimized geometry
data_ScTl3Ge
_symmetry_space_group_name_H-M 'P m -3 m'
_symmetry_Int_Tables_number 221
_symmetry_space_group_name_Hall '-P 4 2 3'
_cell_length_a 5.578
_cell_length_b 5.578
_cell_length_c 5.578
_cell_angle_alpha 90.00
_cell_angle_beta 90.00
_cell_angle_gamma 90.00
loop_
_atom_site_label
_atom_site_type_symbol
_atom_site_fract_x
_atom_site_fract_y
_atom_site_fract_z
Sc1 Sc 0.000 0.000 0.000
Tl1 Tl 0.000 0.000 0.500
Ge1 Ge 0.500 0.500 0.500
# Energy above the most stable polymorph in this dataset = 0.085 eV per atom
# Fermi-level density of states = 4.1 states/eV per cell
# DFT formation energy = 622 meV/atom

---

No. 2
# ScTlZn2Ge PBE optimized geometry
data_ScTlZn2Ge
_symmetry_space_group_name_H-M 'P 4/m m m'
_symmetry_Int_Tables_number 123
_symmetry_space_group_name_Hall '-P 4 2'
_cell_length_a 4.891
_cell_length_b 4.891
_cell_length_c 5.619
_cell_angle_alpha 90.00
_cell_angle_beta 90.00
_cell_angle_gamma 90.00
loop_
_atom_site_label
_atom_site_type_symbol
_atom_site_fract_x
_atom_site_fract_y
_atom_site_fract_z
Sc1 Sc 0.000 0.000 0.000
Tl1 Tl 0.000 0.000 0.500
Zn1 Zn 0.000 0.500 0.500
Ge1 Ge 0.500 0.500 0.000
# Fermi-level density of states = 2.6 states/eV per cell
# DFT formation energy = 649 meV/atom

---

No. 3
# ZrScTlGe2 PBE optimized geometry
data_ZrScTlGe2
_symmetry_space_group_name_H-M 'P 4/m m m'
_symmetry_Int_Tables_number 123
_symmetry_space_group_name_Hall '-P 4 2'
_cell_length_a 4.962
_cell_length_b 4.962
_cell_length_c 5.327
_cell_angle_alpha 90.00
_cell_angle_beta 90.00
_cell_angle_gamma 90.00
loop_
_atom_site_label
_atom_site_type_symbol
_atom_site_fract_x
_atom_site_fract_y
_atom_site_fract_z
Zr1 Zr 0.000 0.000 0.000
Sc1 Sc 0.500 0.500 0.500
Tl1 Tl 0.500 0.500 0.000
Ge1 Ge 0.000 0.500 0.500
# Fermi-level density of states = 3.8 states/eV per cell
# DFT formation energy = 601 meV/atom

---

No. 4
# TmSc2Ge PBE optimized geometry
data_TmSc2Ge
_symmetry_space_group_name_H-M 'C m c m'
_symmetry_Int_Tables_number 63
_symmetry_space_group_name_Hall '-C 2c 2'
_cell_length_a 3.961
_cell_length_b 11.263
_cell_length_c 8.480
_cell_angle_alpha 90.00
_cell_angle_beta 90.00
_cell_angle_gamma 90.00
loop_
_atom_site_label
_atom_site_type_symbol
_atom_site_fract_x
_atom_site_fract_y
_atom_site_fract_z
Tm1 Tm 0.000 0.059 0.250
Sc1 Sc 0.000 0.359 0.057
Ge1 Ge 0.000 0.242 0.750
# Energy above the most stable polymorph in this dataset = 0.000 eV per atom
# Fermi-level density of states = 20.9 states/eV per cell
# DFT formation energy = -499 meV/atom

---

No. 5
# TmScGe2 PBE optimized geometry
data_TmScGe2
_symmetry_space_group_name_H-M 'R -3 m'
_symmetry_Int_Tables_number 166
_symmetry_space_group_name_Hall '-R 3 2"'
_cell_length_a 3.7024
_cell_length_b 3.7024
_cell_length_c 22.5590
_cell_angle_alpha 90.00
_cell_angle_beta 90.00
_cell_angle_gamma 120.00
loop_
_atom_site_label
_atom_site_type_symbol
_atom_site_fract_x
_atom_site_fract_y
_atom_site_fract_z
Tm1 Tm 0.0000 0.0000 0.0000
Sc1 Sc 0.0000 0.0000 0.5000
Ge1 Ge 0.0000 0.0000 0.2466
# Energy above the most stable polymorph in this dataset = 0.219 eV per atom
# Fermi-level density of states = 10.3 states/eV per cell
# DFT formation energy = -602 meV/atom

---

No. 6
# TmScGe2 PBE optimized geometry
data_TmScGe2
_symmetry_space_group_name_H-M 'A m m 2'
_symmetry_Int_Tables_number 38
_cell_length_a 3.864
_cell_length_b 4.124
_cell_length_c 10.365
_cell_angle_alpha 90.00
_cell_angle_beta 90.00
_cell_angle_gamma 90.00
loop_
_symmetry_equiv_pos_as_xyz
'x,y,z'
'-x,-y,z'
'-x,y,z'
'x,-y,z'
'x,y+1/2,z+1/2'
'-x,-y+1/2,z+1/2'
'-x,y+1/2,z+1/2'
'x,-y+1/2,z+1/2'
loop_
_atom_site_label
_atom_site_type_symbol
_atom_site_fract_x
_atom_site_fract_y
_atom_site_fract_z
Tm1 Tm 0.000 0.000 0.000
Sc1 Sc 0.500 0.000 0.726
Ge1 Ge 0.000 0.000 0.273
Ge2 Ge 0.500 0.000 0.450
# Energy above the most stable polymorph in this dataset = 0.000 eV per atom
# Fermi-level density of states = 5.2 states/eV per cell
# DFT formation energy = -821 meV/atom

---

No. 7
# TmSc2Ge2 PBE optimized geometry
data_TmSc2Ge2
_symmetry_space_group_name_H-M 'R -3 m'
_symmetry_Int_Tables_number 166
_symmetry_space_group_name_Hall '-R 3 2"'
_cell_length_a 4.6555
_cell_length_b 4.6555
_cell_length_c 16.6293
_cell_angle_alpha 90.00
_cell_angle_beta 90.00
_cell_angle_gamma 120.00
loop_
_atom_site_label
_atom_site_type_symbol
_atom_site_fract_x
_atom_site_fract_y
_atom_site_fract_z
Tm1 Tm 0.0000 0.0000 0.0000
Sc1 Sc 0.0000 0.0000 0.2092
Ge1 Ge 0.0000 0.0000 0.4123
# Fermi-level density of states = 12.7 states/eV per cell
# DFT formation energy = -605 meV/atom

---

No. 8
# TmSc2Ge PBE optimized geometry
data_TmSc2Ge
_symmetry_space_group_name_H-M 'R -3 m'
_symmetry_Int_Tables_number 166
_symmetry_space_group_name_Hall '-R 3 2"'
_cell_length_a 3.3387
_cell_length_b 3.3387
_cell_length_c 31.0222
_cell_angle_alpha 90.00
_cell_angle_beta 90.00
_cell_angle_gamma 120.00
loop_
_atom_site_label
_atom_site_type_symbol
_atom_site_fract_x
_atom_site_fract_y
_atom_site_fract_z
Tm1 Tm 0.0000 0.0000 0.0000
Sc1 Sc 0.0000 0.0000 0.1027
Ge1 Ge 0.0000 0.0000 0.5000
# Energy above the most stable polymorph in this dataset = 0.470 eV per atom
# Fermi-level density of states = 18.0 states/eV per cell
# DFT formation energy = -29 meV/atom

---

No. 9
# TmScGe2 PBE optimized geometry
data_TmScGe2
_symmetry_space_group_name_H-M 'P 4/m m m'
_symmetry_Int_Tables_number 123
_symmetry_space_group_name_Hall '-P 4 2'
_cell_length_a 4.570
_cell_length_b 4.570
_cell_length_c 3.925
_cell_angle_alpha 90.00
_cell_angle_beta 90.00
_cell_angle_gamma 90.00
loop_
_atom_site_label
_atom_site_type_symbol
_atom_site_fract_x
_atom_site_fract_y
_atom_site_fract_z
Tm1 Tm 0.000 0.000 0.000
Sc1 Sc 0.500 0.500 0.000
Ge1 Ge 0.000 0.500 0.500
# Energy above the most stable polymorph in this dataset = 0.222 eV per atom
# Fermi-level density of states = 3.5 states/eV per cell
# DFT formation energy = -598 meV/atom

---

No. 10
# Tm2Sc2Ge3 PBE optimized geometry
data_Tm2Sc2Ge3
_symmetry_space_group_name_H-M 'C 1 2/m 1'
_symmetry_Int_Tables_number 12
_cell_length_a 10.041
_cell_length_b 4.414
_cell_length_c 7.737
_cell_angle_alpha 90.00
_cell_angle_beta 99.48
_cell_angle_gamma 90.00
loop_
_symmetry_equiv_pos_as_xyz
'x,y,z'
'-x,-y,-z'
'-x,y,-z'
'x,-y,z'
'x+1/2,y+1/2,z'
'-x+1/2,-y+1/2,-z'
'-x+1/2,y+1/2,-z'
'x+1/2,-y+1/2,z'
loop_
_atom_site_label
_atom_site_type_symbol
_atom_site_fract_x
_atom_site_fract_y
_atom_site_fract_z
Tm1 Tm 0.130 0.000 0.349
Sc1 Sc 0.143 0.500 0.937
Ge1 Ge 0.000 0.000 0.000
Ge2 Ge 0.191 0.000 0.725
# Fermi-level density of states = 10.0 states/eV per cell
# DFT formation energy = -643 meV/atom

---

No. 11
# Tm5ScGe4 PBE optimized geometry
data_Tm5ScGe4
_symmetry_space_group_name_H-M 'C 1 2/m 1'
_symmetry_Int_Tables_number 12
_cell_length_a 15.018
_cell_length_b 4.793
_cell_length_c 6.764
_cell_angle_alpha 90.00
_cell_angle_beta 90.11
_cell_angle_gamma 90.00
loop_
_symmetry_equiv_pos_as_xyz
'x,y,z'
'-x,-y,-z'
'-x,y,-z'
'x,-y,z'
'x+1/2,y+1/2,z'
'-x+1/2,-y+1/2,-z'
'-x+1/2,y+1/2,-z'
'x+1/2,-y+1/2,z'
loop_
_atom_site_label
_atom_site_type_symbol
_atom_site_fract_x
_atom_site_fract_y
_atom_site_fract_z
Tm1 Tm 0.000 0.000 0.000
Tm2 Tm 0.164 0.500 0.003
Tm3 Tm 0.164 0.500 0.493
Sc1 Sc 0.000 0.000 0.500
Ge1 Ge 0.010 0.500 0.743
Ge2 Ge 0.178 0.000 0.251
# Fermi-level density of states = 10.5 states/eV per cell
# DFT formation energy = -608 meV/atom

---

No. 12
# TmSc4Ge4 PBE optimized geometry
data_TmSc4Ge4
_symmetry_space_group_name_H-M 'P 42/n'
_symmetry_Int_Tables_number 86
_cell_length_a 8.812
_cell_length_b 8.812
_cell_length_c 5.453
_cell_angle_alpha 90.00
_cell_angle_beta 90.00
_cell_angle_gamma 90.00
loop_
_symmetry_equiv_pos_as_xyz
'x,y,z'
'-x,-y,-z'
'-y,x+1/2,z+1/2'
'y,-x+1/2,-z+1/2'
'-x+1/2,-y+1/2,z'
'x+1/2,y+1/2,-z'
'y+1/2,-x,z+1/2'
'-y+1/2,x,-z+1/2'
loop_
_atom_site_label
_atom_site_type_symbol
_atom_site_fract_x
_atom_site_fract_y
_atom_site_fract_z
Tm1 Tm 0.250 0.250 0.250
Sc1 Sc 0.098 0.642 0.136
Ge1 Ge 0.044 0.605 0.647
# Fermi-level density of states = 14.5 states/eV per cell
# DFT formation energy = -568 meV/atom

---

No. 13
# ScV2Ge2 PBE optimized geometry
data_ScV2Ge2
_symmetry_space_group_name_H-M 'P 4/m b m'
_symmetry_Int_Tables_number 127
_symmetry_space_group_name_Hall '-P 4 2ab'
_cell_length_a 6.902
_cell_length_b 6.902
_cell_length_c 3.295
_cell_angle_alpha 90.00
_cell_angle_beta 90.00
_cell_angle_gamma 90.00
loop_
_atom_site_label
_atom_site_type_symbol
_atom_site_fract_x
_atom_site_fract_y
_atom_site_fract_z
Sc1 Sc 0.000 0.000 0.000
V1 V 0.163 0.337 0.500
Ge1 Ge 0.133 0.633 0.000
# Energy above the most stable polymorph in this dataset = 0.102 eV per atom
# Fermi-level density of states = 5.5 states/eV per cell
# DFT formation energy = -370 meV/atom

---

No. 14
# ScV6Ge6 PBE optimized geometry
data_ScV6Ge6
_symmetry_space_group_name_H-M 'P 6/m m m'
_symmetry_Int_Tables_number 191
_symmetry_space_group_name_Hall '-P 6 2'
_cell_length_a 5.1894
_cell_length_b 5.1894
_cell_length_c 8.4845
_cell_angle_alpha 90.00
_cell_angle_beta 90.00
_cell_angle_gamma 120.00
loop_
_atom_site_label
_atom_site_type_symbol
_atom_site_fract_x
_atom_site_fract_y
_atom_site_fract_z
Sc1 Sc 0.0000 0.0000 0.0000
V1 V 0.0000 0.5000 0.2500
Ge1 Ge 0.0000 0.0000 0.3258
Ge2 Ge 0.3333 0.6667 0.0000
Ge3 Ge 0.3333 0.6667 0.5000
# Fermi-level density of states = 3.5 states/eV per cell
# DFT formation energy = -437 meV/atom

---

No. 15
# Sc3VGe PBE optimized geometry
data_Sc3VGe
_symmetry_space_group_name_H-M 'P m -3 m'
_symmetry_Int_Tables_number 221
_symmetry_space_group_name_Hall '-P 4 2 3'
_cell_length_a 4.835
_cell_length_b 4.835
_cell_length_c 4.835
_cell_angle_alpha 90.00
_cell_angle_beta 90.00
_cell_angle_gamma 90.00
loop_
_atom_site_label
_atom_site_type_symbol
_atom_site_fract_x
_atom_site_fract_y
_atom_site_fract_z
Sc1 Sc 0.000 0.000 0.500
V1 V 0.000 0.000 0.000
Ge1 Ge 0.500 0.500 0.500
# Energy above the most stable polymorph in this dataset = 0.115 eV per atom
# Fermi-level density of states = 5.5 states/eV per cell
# DFT formation energy = 469 meV/atom

---

No. 16
# Sc3VGe PBE optimized geometry
data_Sc3VGe
_symmetry_space_group_name_H-M 'P m -3 m'
_symmetry_Int_Tables_number 221
_symmetry_space_group_name_Hall '-P 4 2 3'
_cell_length_a 5.059
_cell_length_b 5.059
_cell_length_c 5.059
_cell_angle_alpha 90.00
_cell_angle_beta 90.00
_cell_angle_gamma 90.00
loop_
_atom_site_label
_atom_site_type_symbol
_atom_site_fract_x
_atom_site_fract_y
_atom_site_fract_z
Sc1 Sc 0.000 0.000 0.500
V1 V 0.500 0.500 0.500
Ge1 Ge 0.000 0.000 0.000
# Energy above the most stable polymorph in this dataset = 0.000 eV per atom
# Fermi-level density of states = 7.7 states/eV per cell
# DFT formation energy = 354 meV/atom

---

No. 17
# ScV2Ge2 PBE optimized geometry
data_ScV2Ge2
_symmetry_space_group_name_H-M 'P 4/m b m'
_symmetry_Int_Tables_number 127
_symmetry_space_group_name_Hall '-P 4 2ab'
_cell_length_a 7.612
_cell_length_b 7.612
_cell_length_c 2.730
_cell_angle_alpha 90.00
_cell_angle_beta 90.00
_cell_angle_gamma 90.00
loop_
_atom_site_label
_atom_site_type_symbol
_atom_site_fract_x
_atom_site_fract_y
_atom_site_fract_z
Sc1 Sc 0.000 0.000 0.000
V1 V 0.112 0.388 0.000
Ge1 Ge 0.181 0.681 0.500
# Energy above the most stable polymorph in this dataset = 0.259 eV per atom
# Fermi-level density of states = 6.9 states/eV per cell
# DFT formation energy = -213 meV/atom

---

No. 18
# ScV2Ge2 PBE optimized geometry
data_ScV2Ge2
_symmetry_space_group_name_H-M 'I 4/m m m'
_symmetry_Int_Tables_number 139
_symmetry_space_group_name_Hall '-I 4 2'
_cell_length_a 4.688
_cell_length_b 4.688
_cell_length_c 7.798
_cell_angle_alpha 90.00
_cell_angle_beta 90.00
_cell_angle_gamma 90.00
loop_
_atom_site_label
_atom_site_type_symbol
_atom_site_fract_x
_atom_site_fract_y
_atom_site_fract_z
Sc1 Sc 0.000 0.000 0.000
V1 V 0.000 0.000 0.360
Ge1 Ge 0.000 0.500 0.250
# Energy above the most stable polymorph in this dataset = 0.379 eV per atom
# Fermi-level density of states = 5.4 states/eV per cell
# DFT formation energy = -93 meV/atom

---

No. 19
# ScV5Ge5 PBE optimized geometry
data_ScV5Ge5
_symmetry_space_group_name_H-M 'C 1 2/m 1'
_symmetry_Int_Tables_number 12
_cell_length_a 18.281
_cell_length_b 5.076
_cell_length_c 7.747
_cell_angle_alpha 90.00
_cell_angle_beta 114.90
_cell_angle_gamma 90.00
loop_
_symmetry_equiv_pos_as_xyz
'x,y,z'
'-x,-y,-z'
'-x,y,-z'
'x,-y,z'
'x+1/2,y+1/2,z'
'-x+1/2,-y+1/2,-z'
'-x+1/2,y+1/2,-z'
'x+1/2,-y+1/2,z'
loop_
_atom_site_label
_atom_site_type_symbol
_atom_site_fract_x
_atom_site_fract_y
_atom_site_fract_z
Sc1 Sc 0.143 0.000 0.033
V1 V 0.065 0.500 0.806
V2 V 0.066 0.000 0.321
V3 V 0.145 0.500 0.259
V4 V 0.189 0.252 0.689
Ge1 Ge 0.000 0.254 0.000
Ge2 Ge 0.065 0.000 0.656
Ge3 Ge 0.067 0.500 0.467
Ge4 Ge 0.212 0.500 0.014
Ge5 Ge 0.215 0.000 0.421
# Fermi-level density of states = 27.6 states/eV per cell
# DFT formation energy = -428 meV/atom

---

No. 20
# ScV3Ge PBE optimized geometry
data_ScV3Ge
_symmetry_space_group_name_H-M 'P m -3 m'
_symmetry_Int_Tables_number 221
_symmetry_space_group_name_Hall '-P 4 2 3'
_cell_length_a 4.556
_cell_length_b 4.556
_cell_length_c 4.556
_cell_angle_alpha 90.00
_cell_angle_beta 90.00
_cell_angle_gamma 90.00
loop_
_atom_site_label
_atom_site_type_symbol
_atom_site_fract_x
_atom_site_fract_y
_atom_site_fract_z
Sc1 Sc 0.000 0.000 0.000
V1 V 0.000 0.500 0.500
Ge1 Ge 0.500 0.500 0.500
# Energy above the most stable polymorph in this dataset = 0.000 eV per atom
# Fermi-level density of states = 9.0 states/eV per cell
# DFT formation energy = 692 meV/atom